# 1
Compound: IrClO2
Source: Alexandria via LeMat-Bulk
Functional: PBE-GGA
Structure: optimized geometry

Output
Formation energy (no corrections) (meV/atom): 1163
Space-group type: Fm-3m
Calculated total energy (hartree per atom): -0.147
Size of the total moment (μB per cell): 0.0
Energy above the most stable polymorph in this dataset (eV per atom): 1.310

Cell: 3.965 3.965 3.965 Å, 60.00 60.00 60.00°
Fractional coordinates of all 4 atoms:
Ir  0.500  0.500  0.500
O  0.250  0.250  0.250
O  0.750  0.750  0.750
Cl  0.000  0.000  0.000

---

# 2
Compound: PaZnGaFe
Source: Alexandria via LeMat-Bulk
Functional: PBE-GGA
Structure: optimized geometry

Output
ΔH_f (0 K) (eV per atom): -0.009
Space-group type: F-43m
Calculated total energy (hartree per atom): -0.205
Size of the total moment (μB per cell): 1.0

Cell: 4.592 4.592 4.592 Å, 60.00 60.00 60.00°
Each line ends with the local moment (μB).
Fractional coordinates of all 4 atoms:
Zn  0.500  0.500  0.500  0.00
Pa  0.250  0.250  0.250  -0.34
Fe  0.000  0.000  0.000  1.31
Ga  0.750  0.750  0.750  0.00

---

# 3
Compound: TePPt2
Source: Alexandria via LeMat-Bulk
Functional: PBE-GGA
Structure: optimized geometry

Output
Formation energy (no corrections) (meV/atom): 196
Space-group type: P4/mmm
Calculated total energy (hartree per atom): -0.182
Size of the total moment (μB per cell): 0.0
Energy above the most stable polymorph in this dataset (eV per atom): 0.501

Cell: 4.473 4.473 3.548 Å, 90.00 90.00 90.00°
Fractional coordinates of all 4 atoms:
Te  0.500  0.500  0.500
P  0.000  0.000  0.500
Pt  0.500  0.000  0.000
Pt  0.000  0.500  0.000

---

# 4
Compound: La2In6IrRu
Source: Alexandria via LeMat-Bulk
Functional: PBE-GGA
Structure: optimized geometry

Output
ΔH_f (0 K) (eV per atom): -0.201
Space-group type: R-3m
Calculated total energy (hartree per atom): -0.171
Size of the total moment (μB per cell): 0.0

Cell: 7.250 7.264 7.254 Å, 59.90 60.17 89.98°
Fractional coordinates of all 10 atoms:
La  0.250  0.750  0.500
La  0.750  0.250  0.500
In  0.249  0.751  0.000
In  0.751  0.751  0.000
In  0.249  0.249  0.502
In  0.751  0.249  0.000
In  0.249  0.249  0.000
In  0.751  0.751  0.498
Ir  0.500  0.500  0.000
Ru  0.000  0.000  0.000